No. 1
The following is a PBE calculation of an optimized crystal structure of La4Pm3Se8, from Alexandria.

Calculated values
Energy above the most stable polymorph in this dataset ... 0 meV per atom
Space-group type ... C2/m (12)
E_form (uncorrected) ... -1942 meV per atom

Unit cell a=8.5378 b=8.5052 c=8.5052 alpha=89.99 beta=120.15 gamma=120.15
Sites, in units of the cell vectors:
Se: 0.4921 0.7436 0.7436
La: 0.5000 0.0000 0.0000
Se: 0.5000 0.7477 0.2523
Se: 0.9946 0.7444 0.7444
Se: 0.0000 0.2535 0.7465
Se: 0.0054 0.2556 0.2556
Pm: 0.5000 0.5000 0.0000
Se: 0.5000 0.2523 0.7477
Pm: 0.5000 0.5000 0.5000
La: 0.0000 0.0000 0.5000
Se: 0.0000 0.7465 0.2535
La: 0.0000 0.5000 0.0000
La: 0.0000 0.0000 0.0000
Pm: 0.5000 0.0000 0.5000
Se: 0.5079 0.2564 0.2564

No. 2
The following is a PBE calculation of an optimized crystal structure of Ba2LiSb2, from Alexandria.

Calculated values
Energy above the most stable polymorph in this dataset ... 450 meV per atom
Space-group type ... I4/mmm (139)
E_form (uncorrected) ... -337 meV per atom

Unit cell a=4.5763 b=4.5763 c=10.7125 alpha=77.67 beta=77.67 gamma=90.00
Sites, in units of the cell vectors:
Ba: 0.6184 0.6184 0.7631
Li: 0.0000 0.0000 0.0000
Sb: 0.7500 0.2500 0.5000
Ba: 0.3816 0.3816 0.2369
Sb: 0.2500 0.7500 0.5000

Number 1: electronic total energy -6.06 eV/atom. Number 2: electronic total energy -3.14 eV/atom.